No. 1
Here is a relaxed Cu2WCl crystal from Alexandria via LeMat-Bulk. Energies are from PBE.

As for the total energy: -41.2 eV per cell. The value obtained for the formation energy without anion corrections is 0.60 eV per atom. The energy relative to the lowest polymorph listed for this composition comes out at 0.309 eV/atom. The mass density comes out at 9816 kg/m3.

It has space group Cmmm (No. 65), with a = 4.886 Å, b = 8.794 Å, c = 2.727 Å, α = 90.00°, β = 90.00° and γ = 90.00°. The asymmetric unit holds Cu at (0.250, 0.250, 0.000), W at (0.000, 0.000, 0.500) and Cl at (0.000, 0.500, 0.500).

***

No. 2
Here is a relaxed CuW2Cl crystal from Alexandria via LeMat-Bulk. Energies are from PBE.

As for the total energy: -57.1 eV per cell. The value obtained for the formation energy without anion corrections is 0.82 eV per atom. The energy relative to the lowest polymorph listed for this composition comes out at 0.438 eV/atom. The mass density comes out at 12443 kg/m3.

It has space group Cmmm (No. 65), with a = 2.925 Å, b = 4.752 Å, c = 8.961 Å, α = 90.00°, β = 90.00° and γ = 90.00°. The asymmetric unit holds Cu at (0.000, 0.000, 0.000), W at (0.000, 0.500, 0.248) and Cl at (0.000, 0.000, 0.500).

***

No. 3
Here is a relaxed Cu2WCl crystal from Alexandria via LeMat-Bulk. Energies are from PBE.

As for the total energy: -43.2 eV per cell. The value obtained for the formation energy without anion corrections is 0.35 eV per atom. The energy relative to the lowest polymorph listed for this composition comes out at 0.053 eV/atom. The mass density comes out at 9614 kg/m3.

It has space group Cmmm (No. 65), with a = 3.113 Å, b = 4.761 Å, c = 8.074 Å, α = 90.00°, β = 90.00° and γ = 90.00°. The asymmetric unit holds Cu at (0.000, 0.000, 0.241), W at (0.000, 0.500, 0.500) and Cl at (0.000, 0.500, 0.000).

***

No. 4
Here is a relaxed Cu2WCl crystal from Alexandria via LeMat-Bulk. Energies are from PBE.

As for the total energy: -20.9 eV per cell. The value obtained for the formation energy without anion corrections is 0.51 eV per atom. The energy relative to the lowest polymorph listed for this composition comes out at 0.217 eV/atom. The mass density comes out at 9724 kg/m3.

It has space group Pm (No. 6), with a = 2.737 Å, b = 4.361 Å, c = 4.956 Å, α = 90.00°, β = 90.03° and γ = 90.00°. The asymmetric unit holds Cu at (0.000, 0.000, 0.000), Cu at (0.004, 0.500, 0.247), W at (0.501, 0.500, 0.762) and Cl at (0.501, 0.000, 0.547).